VASP calculation (GGA-PBE) on a relaxed LaPmSn3 crystal.

Computed properties:
Total DFT energy (no corrections): -0.358 Ry per atom
Energy of formation from the pure elements: -0.536 eV per atom

a = 14.9167 Å, b = 14.0185 Å, c = 6.3267 Å
α = 90.00°, β = 111.73°, γ = 90.00°
Space group C2/c (No. 15)
Symmetry-distinct sites (fractional):
La  0.2249  0.1150  0.2361
Pm  0.0000  0.2731  0.2500
Pm  0.0000  0.4608  0.7500
Sn  0.0810  0.0717  0.5310
Sn  0.1037  0.2536  0.8123
Sn  0.1756  0.3935  0.2073